Entry 1:
Entry from Alexandria via LeMat-Bulk: a relaxed Ba2LiHgH6 crystal (PBE).

Properties
V: 14.410 Å³/atom
E_tot: -2.86 eV/atom
DOS at the Fermi energy: 1.1 states/eV/cell

```
10
Lattice="5.878 0.005 0.002 0.005 5.877 0.002 2.943 2.942 4.173" Properties=species:S:1:pos:R:3 pbc="T T T"
Ba 5.881 2.945 2.088
Ba 2.945 5.880 2.089
Li 0.000 0.000 0.000
Hg 5.884 5.883 4.175
H 2.942 2.941 2.245
H 4.525 4.522 0.004
H 1.363 4.519 0.002
H 7.462 4.305 4.175
H 4.300 4.302 4.173
H 5.884 5.883 1.932
```

=====

Entry 2:
Entry from Alexandria via LeMat-Bulk: a relaxed In3Ir4 crystal (PBE).

Properties
V: 18.531 Å³/atom
E_tot: -5.48 eV/atom
energy of formation from the pure elements: 0.75 eV per atom
DOS at the Fermi energy: 7.8 states/eV/cell

```
7
Lattice="-1.252 4.353 -3.385 -3.915 -2.060 3.521 1.413 2.988 3.319" Properties=species:S:1:pos:R:3 pbc="T T T"
In -1.958 -1.030 1.761
In -2.584 1.146 0.068
In -0.626 2.176 -1.693
Ir 0.357 0.756 0.839
Ir 1.056 2.233 2.480
Ir -1.433 3.709 0.577
Ir -2.321 1.571 2.879
```

=====

Among the records above, which one has the highest E_tot? Ba2LiHgH6

=====

Which of these has the lowest E_tot? In3Ir4

=====

Copy entry 2 word for word.
Entry from Alexandria via LeMat-Bulk: a relaxed In3Ir4 crystal (PBE).

Properties
V: 18.531 Å³/atom
E_tot: -5.48 eV/atom
energy of formation from the pure elements: 0.75 eV per atom
DOS at the Fermi energy: 7.8 states/eV/cell

```
7
Lattice="-1.252 4.353 -3.385 -3.915 -2.060 3.521 1.413 2.988 3.319" Properties=species:S:1:pos:R:3 pbc="T T T"
In -1.958 -1.030 1.761
In -2.584 1.146 0.068
In -0.626 2.176 -1.693
Ir 0.357 0.756 0.839
Ir 1.056 2.233 2.480
Ir -1.433 3.709 0.577
Ir -2.321 1.571 2.879
```